(1)
This record from Alexandria describes a geometry-optimized LaNdAlGa structure. The functional is PBE.

Computed properties:
* distance to the lowest polymorph of the same formula: 0.000 eV/atom
* ΔE_f: -0.4763 eV per atom
* magnetization: 0.000 μB per atom

Geometry as POSCAR:
```
LaNdAlGa
1.0
4.538 0.000 0.000
0.000 4.259 0.000
-2.269 0.000 5.766
Ga Al Nd La
1 1 1 1
Direct
0.567 0.500 0.133 Ga
0.433 0.000 0.866 Al
0.858 0.500 0.716 Nd
0.142 0.000 0.284 La
```


(2)
This record from Alexandria describes a geometry-optimized LaNd2Al2Ga2 structure. The functional is PBE.

Computed properties:
* ΔE_f: -0.4321 eV per atom
* magnetization: 0.076 μB per atom

Geometry as POSCAR:
```
LaNd2Al2Ga2
1.0
-1.918 3.838 -0.599
-3.462 0.311 -2.585
-8.668 -0.655 7.900
Nd Ga Al La
2 2 2 1
Direct
0.125 0.125 0.624 Nd
0.875 0.875 0.376 Nd
0.737 0.737 0.790 Ga
0.263 0.263 0.210 Ga
0.395 0.395 0.814 Al
0.605 0.605 0.186 Al
0.000 0.000 0.000 La
```


(3)
This record from Alexandria describes a geometry-optimized LaNdAl2Ga2 structure. The functional is PBE.

Computed properties:
* ΔE_f: -0.5997 eV per atom
* magnetization: 0.000 μB per atom

Geometry as POSCAR:
```
LaNdAl2Ga2
1.0
4.355 0.000 0.000
-2.178 3.772 0.000
0.000 0.000 8.752
Nd Ga Al La
1 2 2 1
Direct
0.000 0.000 0.500 Nd
0.667 0.333 0.745 Ga
0.333 0.667 0.255 Ga
0.333 0.667 0.745 Al
0.667 0.333 0.255 Al
0.000 0.000 0.000 La
```


(4)
This record from Alexandria describes a geometry-optimized LaAlGa2Ni structure. The functional is PBE.

Computed properties:
* ΔE_f: -0.4100 eV per atom
* magnetization: 0.000 μB per atom

Geometry as POSCAR:
```
LaAlGa2Ni
1.0
4.651 0.000 0.000
0.000 4.651 0.000
0.000 0.000 4.620
Ga La Ni Al
2 1 1 1
Direct
0.500 0.000 0.000 Ga
0.000 0.500 0.000 Ga
0.500 0.500 0.500 La
0.000 0.000 0.000 Ni
0.000 0.000 0.500 Al
```


(5)
This record from Alexandria describes a geometry-optimized La2AlGa3Ni4 structure. The functional is PBE.

Computed properties:
* ΔE_f: -0.5593 eV per atom
* magnetization: 0.000 μB per atom

Geometry as POSCAR:
```
La2AlGa3Ni4
1.0
4.263 0.000 0.000
0.000 4.263 0.000
0.000 0.000 9.748
Ni Ga La Al
4 3 2 1
Direct
0.000 0.500 0.370 Ni
0.000 0.000 0.000 Ni
0.500 0.500 0.000 Ni
0.500 0.000 0.630 Ni
0.500 0.000 0.881 Ga
0.000 0.000 0.500 Ga
0.000 0.500 0.119 Ga
0.000 0.500 0.757 La
0.500 0.000 0.243 La
0.500 0.500 0.500 Al
```


(6)
This record from Alexandria describes a geometry-optimized LaAlGa2Ni5 structure. The functional is PBE.

Computed properties:
* ΔE_f: -0.0989 eV per atom
* magnetization: 0.000 μB per atom

Geometry as POSCAR:
```
LaAlGa2Ni5
1.0
4.520 0.000 0.000
0.000 4.520 0.000
0.000 0.000 7.089
Ni Ga Al La
5 2 1 1
Direct
0.000 0.500 0.183 Ni
0.000 0.500 0.817 Ni
0.500 0.500 0.500 Ni
0.500 0.000 0.183 Ni
0.500 0.000 0.817 Ni
0.500 0.500 0.180 Ga
0.500 0.500 0.820 Ga
0.000 0.000 0.000 Al
0.000 0.000 0.500 La
```


(7)
This record from Alexandria describes a geometry-optimized La2AlGa3Ni12 structure. The functional is PBE.

Computed properties:
* ΔE_f: -0.1531 eV per atom
* magnetization: 0.000 μB per atom

Geometry as POSCAR:
```
La2AlGa3Ni12
1.0
-5.225 1.491 3.376
1.318 -3.714 5.038
2.725 4.562 3.560
Ni Ga La Al
12 3 2 1
Direct
0.394 0.394 0.895 Ni
0.606 0.105 0.606 Ni
0.895 0.394 0.394 Ni
0.722 0.191 0.191 Ni
0.105 0.606 0.606 Ni
0.278 0.809 0.809 Ni
0.606 0.606 0.105 Ni
0.809 0.809 0.278 Ni
0.191 0.722 0.191 Ni
0.191 0.191 0.722 Ni
0.394 0.895 0.394 Ni
0.809 0.278 0.809 Ni
0.000 0.000 0.500 Ga
0.500 0.000 0.000 Ga
0.000 0.500 0.000 Ga
0.348 0.348 0.348 La
0.652 0.652 0.652 La
0.000 0.000 0.000 Al
```


(8)
This record from Alexandria describes a geometry-optimized LaAl2GaNi2 structure. The functional is PBE.

Computed properties:
* ΔE_f: -0.3485 eV per atom
* magnetization: 0.000 μB per atom

Geometry as POSCAR:
```
LaAl2GaNi2
1.0
4.405 0.000 0.000
0.000 4.405 0.000
0.000 0.000 5.797
Al Ga La Ni
2 1 1 2
Direct
0.500 0.500 0.758 Al
0.500 0.500 0.242 Al
0.000 0.000 0.000 Ga
0.000 0.000 0.500 La
0.000 0.500 0.000 Ni
0.500 0.000 0.000 Ni
```


(9)
This record from Alexandria describes a geometry-optimized LaAlGa2Ni4 structure. The functional is PBE.

Computed properties:
* ΔE_f: -0.4906 eV per atom
* magnetization: 0.000 μB per atom

Geometry as POSCAR:
```
LaAlGa2Ni4
1.0
-3.168 -2.579 0.035
0.625 -4.009 -0.476
-0.043 -3.069 8.273
Ga Ni La Al
2 4 1 1
Direct
0.763 0.763 0.711 Ga
0.237 0.237 0.289 Ga
0.593 0.593 0.222 Ni
0.865 0.865 0.404 Ni
0.407 0.407 0.778 Ni
0.135 0.135 0.596 Ni
0.000 0.000 0.000 La
0.500 0.500 0.500 Al
```


(10)
This record from Alexandria describes a geometry-optimized La2AlGaO6 structure. The functional is PBE.

Computed properties:
* magnetization: 0.000 μB per atom
* ΔE_f (raw): -2.99 eV/atom

Geometry as POSCAR:
```
La2AlGaO6
1.0
-4.010 -3.430 -1.575
-1.229 -0.969 5.241
-5.022 5.891 -0.089
O La Al Ga
12 4 2 2
Direct
0.271 0.739 0.035 O
0.729 0.261 0.965 O
0.740 0.271 0.535 O
0.434 0.994 0.755 O
0.771 0.761 0.535 O
0.066 0.494 0.745 O
0.260 0.729 0.465 O
0.566 0.006 0.245 O
0.240 0.229 0.035 O
0.229 0.239 0.465 O
0.760 0.771 0.965 O
0.934 0.506 0.255 O
0.995 0.013 0.750 La
0.495 0.487 0.250 La
0.005 0.987 0.250 La
0.505 0.513 0.750 La
0.500 0.000 0.000 Al
0.000 0.500 0.500 Al
0.000 0.500 0.000 Ga
0.500 0.000 0.500 Ga
```


(11)
This record from Alexandria describes a geometry-optimized LaAl2GaOs2 structure. The functional is PBE.

Computed properties:
* ΔE_f: -0.0595 eV per atom
* magnetization: 0.000 μB per atom

Geometry as POSCAR:
```
LaAl2GaOs2
1.0
-4.121 1.983 -0.487
-1.738 -3.982 -1.506
-1.341 -1.459 5.406
Al La Ga Os
2 1 1 2
Direct
0.500 0.500 0.247 Al
0.500 0.500 0.753 Al
0.000 0.000 0.500 La
0.000 0.000 0.000 Ga
0.500 0.000 0.000 Os
0.000 0.500 0.000 Os
```


(12)
This record from Alexandria describes a geometry-optimized LaPaAl2Ga5 structure. The functional is PBE.

Computed properties:
* ΔE_f: -0.2919 eV per atom
* magnetization: 0.052 μB per atom

Geometry as POSCAR:
```
LaPaAl2Ga5
1.0
4.317 0.000 0.000
0.000 4.317 0.000
0.000 0.000 9.944
Ga La Al Pa
5 1 2 1
Direct
0.500 0.000 0.735 Ga
0.000 0.500 0.735 Ga
0.000 0.500 0.265 Ga
0.500 0.000 0.265 Ga
0.500 0.500 0.500 Ga
0.000 0.000 0.500 La
0.500 0.500 0.879 Al
0.500 0.500 0.121 Al
0.000 0.000 0.000 Pa
```